w) VASP calculation (PBE-GGA) on a relaxed structure of CeU2C3.

a = 6.791 Å, b = 5.827 Å, c = 6.682 Å
α = 115.85°, β = 120.54°, γ = 90.00°
Atoms (fractional coordinates):
Ce: 0.328 0.750 0.500
C: 0.000 0.623 0.000
C: 0.000 0.000 0.500
C: 0.500 0.123 0.000
C: 0.000 0.377 0.000
U: 0.273 0.428 0.856
C: 0.500 0.877 0.000
Ce: 0.672 0.250 0.500
C: 0.000 0.500 0.500
U: 0.082 0.928 0.856
U: 0.727 0.572 0.144
U: 0.918 0.072 0.144

Properties
- Calculated volume: 16.4 A^3/atom
- Mass density: 11.0 g/cm³
- Space group: No. 74

x) VASP calculation (PBE-GGA) on a relaxed structure of CeU2C3.

a = 3.537 Å, b = 5.070 Å, c = 6.098 Å
α = 114.57°, β = 106.86°, γ = 90.00°
Atoms (fractional coordinates):
U: 0.836 0.836 0.172
U: 0.164 0.164 0.828
Ce: 0.500 0.500 0.500
C: 0.811 0.311 0.123
C: 0.500 0.000 0.500
C: 0.189 0.689 0.877

Properties
- Calculated volume: 15.7 A^3/atom
- Mass density: 11.5 g/cm³
- Space group: No. 71

Order from most stable to least stable according to the calculation: x), w)

w) VASP calculation (PBE-GGA) on a relaxed structure of CeV2C.

a = 2.895 Å, b = 2.895 Å, c = 6.664 Å
α = 90.00°, β = 90.00°, γ = 90.00°
Atoms (fractional coordinates):
V: 0.000 0.000 0.151
Ce: 0.500 0.500 0.500
V: 0.000 0.000 0.849
C: 0.500 0.500 0.000

Properties
- Calculated volume: 14.0 A^3/atom
- Mass density: 7.6 g/cm³
- Space group: No. 123

x) VASP calculation (PBE-GGA) on a relaxed structure of CeV2C.

a = 2.938 Å, b = 2.938 Å, c = 8.022 Å
α = 79.45°, β = 79.45°, γ = 60.00°
Atoms (fractional coordinates):
V: 0.714 0.714 0.859
V: 0.286 0.286 0.141
C: 0.000 0.000 0.000
Ce: 0.500 0.500 0.500

Properties
- Calculated volume: 14.7 A^3/atom
- Mass density: 7.2 g/cm³
- Space group: No. 166

Order from most stable to least stable according to the calculation: x), w)

w) VASP calculation (PBE-GGA) on a relaxed structure of CeWC2.

a = 3.409 Å, b = 5.814 Å, c = 10.965 Å
α = 90.00°, β = 90.00°, γ = 90.00°
Atoms (fractional coordinates):
Ce: 0.750 0.581 0.862
C: 0.750 0.666 0.248
C: 0.250 0.334 0.752
Ce: 0.250 0.919 0.362
W: 0.250 0.585 0.608
C: 0.250 0.281 0.483
C: 0.250 0.834 0.748
Ce: 0.750 0.081 0.638
Ce: 0.250 0.419 0.138
W: 0.750 0.915 0.108
W: 0.750 0.415 0.392
C: 0.250 0.781 0.017
C: 0.750 0.219 0.983
C: 0.750 0.166 0.252
W: 0.250 0.085 0.892
C: 0.750 0.719 0.517

Properties
- Calculated volume: 13.6 A^3/atom
- Mass density: 10.6 g/cm³
- Space group: No. 62

x) VASP calculation (PBE-GGA) on a relaxed structure of CeWC2.

a = 3.253 Å, b = 3.253 Å, c = 5.986 Å
α = 74.23°, β = 74.23°, γ = 60.00°
Atoms (fractional coordinates):
Ce: 0.500 0.500 0.500
W: 0.000 0.000 0.000
C: 0.735 0.735 0.794
C: 0.265 0.265 0.206

Properties
- Calculated volume: 13.0 A^3/atom
- Mass density: 11.1 g/cm³
- Space group: No. 166

Order from most stable to least stable according to the calculation: w), x)

w) VASP calculation (PBE-GGA) on a relaxed structure of CeYC2.

a = 3.651 Å, b = 3.651 Å, c = 6.273 Å
α = 73.08°, β = 73.08°, γ = 60.00°
Atoms (fractional coordinates):
C: 0.253 0.253 0.241
Y: 0.500 0.500 0.500
C: 0.747 0.747 0.759
Ce: 0.000 0.000 0.000

Properties
- Calculated volume: 17.0 A^3/atom
- Mass density: 6.2 g/cm³
- Space group: No. 166

x) VASP calculation (PBE-GGA) on a relaxed structure of CeYC2.

a = 3.607 Å, b = 3.607 Å, c = 6.341 Å
α = 73.48°, β = 73.48°, γ = 60.00°
Atoms (fractional coordinates):
Ce: 0.666 0.666 0.002
C: 0.256 0.256 0.233
C: 0.082 0.082 0.753
Y: 0.496 0.496 0.511

Properties
- Calculated volume: 16.9 A^3/atom
- Mass density: 6.2 g/cm³
- Space group: No. 160

Order from most stable to least stable according to the calculation: w), x)

w) VASP calculation (PBE-GGA) on a relaxed structure of CeZrC2.

a = 3.471 Å, b = 3.471 Å, c = 6.172 Å
α = 73.67°, β = 73.67°, γ = 60.00°
Atoms (fractional coordinates):
C: 0.743 0.743 0.770
Zr: 0.000 0.000 0.000
Ce: 0.500 0.500 0.500
C: 0.257 0.257 0.230

Properties
- Calculated volume: 15.2 A^3/atom
- Mass density: 7.0 g/cm³
- Space group: No. 166

x) VASP calculation (PBE-GGA) on a relaxed structure of CeZrC2.

a = 3.463 Å, b = 3.463 Å, c = 6.252 Å
α = 73.92°, β = 73.92°, γ = 60.00°
Atoms (fractional coordinates):
Ce: 0.673 0.673 0.980
C: 0.240 0.240 0.281
Zr: 0.501 0.501 0.497
C: 0.086 0.086 0.741

Properties
- Calculated volume: 15.4 A^3/atom
- Mass density: 6.9 g/cm³
- Space group: No. 160

Order from most stable to least stable according to the calculation: w), x)

w) VASP calculation (PBE-GGA) on a relaxed structure of CoP2CCl.

a = 4.255 Å, b = 4.255 Å, c = 4.773 Å
α = 90.00°, β = 90.00°, γ = 90.00°
Atoms (fractional coordinates):
C: 0.500 0.500 0.500
Cl: 0.000 0.000 0.500
Co: 0.000 0.000 0.000
P: 0.000 0.500 0.000
P: 0.500 0.000 0.000

Properties
- Calculated volume: 17.3 A^3/atom
- Mass density: 3.2 g/cm³
- Space group: No. 123

x) VASP calculation (PBE-GGA) on a relaxed structure of CoP2CCl.

a = 3.930 Å, b = 3.930 Å, c = 4.498 Å
α = 90.00°, β = 90.00°, γ = 90.00°
Atoms (fractional coordinates):
P: 0.000 0.500 0.000
C: 0.000 0.000 0.000
Co: 0.500 0.500 0.500
P: 0.500 0.000 0.000
Cl: 0.000 0.000 0.500

Properties
- Calculated volume: 13.9 A^3/atom
- Mass density: 4.0 g/cm³
- Space group: No. 123

Order from most stable to least stable according to the calculation: x), w)

w) VASP calculation (PBE-GGA) on a relaxed structure of CrC2Cl2.

a = 5.709 Å, b = 5.709 Å, c = 4.332 Å
α = 90.00°, β = 90.00°, γ = 90.00°
Atoms (fractional coordinates):
C: 0.760 0.260 0.000
C: 0.240 0.740 0.000
Cl: 0.205 0.705 0.500
C: 0.260 0.240 0.000
Cl: 0.795 0.295 0.500
Cr: 0.500 0.500 0.000
Cl: 0.295 0.205 0.500
Cl: 0.705 0.795 0.500
C: 0.740 0.760 0.000
Cr: 0.000 0.000 0.000

Properties
- Calculated volume: 14.1 A^3/atom
- Mass density: 3.5 g/cm³
- Space group: No. 127

x) VASP calculation (PBE-GGA) on a relaxed structure of CrC2Cl2.

a = 6.186 Å, b = 6.186 Å, c = 5.081 Å
α = 52.50°, β = 52.50°, γ = 90.00°
Atoms (fractional coordinates):
C: 0.623 0.623 0.754
Cl: 0.750 0.250 0.500
C: 0.377 0.377 0.246
Cl: 0.250 0.750 0.500
Cr: 0.000 0.000 0.000

Properties
- Calculated volume: 19.8 A^3/atom
- Mass density: 2.5 g/cm³
- Space group: No. 139

Order from most stable to least stable according to the calculation: x), w)

w) VASP calculation (PBE-GGA) on a relaxed structure of CrC2Cl.

a = 5.048 Å, b = 5.048 Å, c = 5.874 Å
α = 64.55°, β = 64.55°, γ = 90.00°
Atoms (fractional coordinates):
Cl: 0.250 0.750 0.500
C: 0.003 0.625 0.250
C: 0.875 0.997 0.750
C: 0.747 0.125 0.250
Cr: 0.750 0.250 0.500
C: 0.375 0.253 0.750
Cr: 0.000 0.000 0.000
Cl: 0.500 0.500 0.000

Properties
- Calculated volume: 14.9 A^3/atom
- Mass density: 3.1 g/cm³
- Space group: No. 122

x) VASP calculation (PBE-GGA) on a relaxed structure of CrC2Cl.

a = 3.830 Å, b = 3.830 Å, c = 3.830 Å
α = 60.00°, β = 60.00°, γ = 60.00°
Atoms (fractional coordinates):
C: 0.750 0.750 0.750
C: 0.250 0.250 0.250
Cl: 0.000 0.000 0.000
Cr: 0.500 0.500 0.500

Properties
- Calculated volume: 9.9 A^3/atom
- Mass density: 4.7 g/cm³
- Space group: No. 225

Order from most stable to least stable according to the calculation: w), x)